Entry 1:
Here is TmBe4Ni after structural relaxation from the Alexandria database. Energies are from PBE.

## Properties
ΔE_f   -8 kJ/mol of atoms

a b c (Å): 4.602 4.602 4.602
angles (deg): 60.00 60.00 60.00
Positions (direct):
Ni  0.000  0.000  0.000
Tm  0.250  0.250  0.250
Be  0.628  0.628  0.116
Be  0.628  0.116  0.628
Be  0.628  0.628  0.628
Be  0.116  0.628  0.628

=====

Entry 2:
Here is Sc8Se3S3N after structural relaxation from the Alexandria database. Energies are from PBE.

## Properties
Formation energy without anion corrections   -1.617 eV per atom

a b c (Å): 7.371 7.371 7.516
angles (deg): 119.36 90.00 120.00
Positions (direct):
Sc  0.260  0.521  0.281
Sc  0.740  0.479  0.719
Sc  0.785  0.570  0.296
Sc  0.215  0.430  0.704
Sc  0.785  0.012  0.296
Sc  0.215  0.988  0.704
Sc  0.227  0.012  0.296
Sc  0.773  0.988  0.704
Se  0.000  0.000  0.000
Se  0.000  0.500  0.000
Se  0.500  0.500  0.000
S  0.500  0.000  0.500
S  0.500  0.500  0.500
S  0.000  0.500  0.500
N  0.000  0.000  0.500

=====

Entry 3:
Here is MnPt2Au after structural relaxation from the Alexandria database. Energies are from PBE.

## Properties
ΔE_f   -12 kJ/mol of atoms

a b c (Å): 2.843 2.843 7.875
angles (deg): 90.00 90.00 90.00
Each line ends with the local moment (μB).
Positions (direct):
Au  0.000  0.000  0.511  0.06
Mn  0.500  0.500  0.760  3.79
Pt  0.000  0.000  0.985  0.26
Pt  0.500  0.500  0.243  0.04

=====

Entry 4:
Here is CdSb2Os2 after structural relaxation from the Alexandria database. Energies are from PBE.

## Properties
Formation energy without anion corrections   0.580 eV per atom

a b c (Å): 6.214 6.214 6.214
angles (deg): 137.15 137.15 62.21
Positions (direct):
Cd  0.000  0.000  0.000
Sb  0.631  0.631  0.000
Sb  0.369  0.369  0.000
Os  0.250  0.750  0.500
Os  0.750  0.250  0.500

=====

Entry 5:
Here is Er2HgRu after structural relaxation from the Alexandria database. Energies are from PBE.

## Properties
ΔE_f   -37 kJ/mol of atoms

a b c (Å): 4.985 4.985 4.985
angles (deg): 60.00 60.00 60.00
Positions (direct):
Ru  0.500  0.500  0.500
Hg  0.000  0.000  0.000
Er  0.250  0.250  0.250
Er  0.750  0.750  0.750

=====

no.,energy (eV for the cell shown)
1,-25.67
2,-106.07
3,-25.03
4,-28.72
5,-20.25